(1)
Below is a relaxed structure of Ac4PrIn5, with properties calculated at the PBE level.

The structure in CIF format:
```
data_Ac4PrIn5
_symmetry_space_group_name_H-M 'P 1'
_symmetry_Int_Tables_number 1
_cell_length_a 4.0510
_cell_length_b 4.0510
_cell_length_c 20.4965
_cell_angle_alpha 90.00
_cell_angle_beta 90.00
_cell_angle_gamma 90.00
loop_
_symmetry_equiv_pos_as_xyz
'x,y,z'
loop_
_atom_site_label
_atom_site_type_symbol
_atom_site_fract_x
_atom_site_fract_y
_atom_site_fract_z
In1 In 0.5000 0.5000 0.9114
In2 In 0.5000 0.5000 0.2945
In3 In 0.5000 0.5000 0.5000
In4 In 0.5000 0.5000 0.0886
In5 In 0.5000 0.5000 0.7055
Ac1 Ac 0.0000 0.0000 0.3973
Ac2 Ac 0.0000 0.0000 0.8073
Ac3 Ac 0.0000 0.0000 0.6027
Ac4 Ac 0.0000 0.0000 0.1927
Pr1 Pr 0.0000 0.0000 0.0000
```

Calculated values
magnetization: 0.0 μB/f.u.
energy of formation from the pure elements: -4.3 eV per formula unit
SG: No. 123
Fermi-level density of states: 8.638 states/eV per cell
theoretical density: 8.01 g cm⁻³

***

(2)
Below is a relaxed structure of La9InPb2, with properties calculated at the PBE level.

The structure in CIF format:
```
data_La9InPb2
_symmetry_space_group_name_H-M 'P 1'
_symmetry_Int_Tables_number 1
_cell_length_a 5.0740
_cell_length_b 5.0740
_cell_length_c 15.2053
_cell_angle_alpha 90.00
_cell_angle_beta 90.00
_cell_angle_gamma 90.00
loop_
_symmetry_equiv_pos_as_xyz
'x,y,z'
loop_
_atom_site_label
_atom_site_type_symbol
_atom_site_fract_x
_atom_site_fract_y
_atom_site_fract_z
La1 La 0.0000 0.5000 0.5000
La2 La 0.5000 0.0000 0.8337
La3 La 0.5000 0.0000 0.5000
La4 La 0.5000 0.5000 0.6668
La5 La 0.0000 0.5000 0.1663
La6 La 0.0000 0.5000 0.8337
La7 La 0.5000 0.0000 0.1663
La8 La 0.5000 0.5000 0.0000
La9 La 0.5000 0.5000 0.3332
In1 In 0.0000 0.0000 0.0000
Pb1 Pb 0.0000 0.0000 0.3328
Pb2 Pb 0.0000 0.0000 0.6672
```

Calculated values
magnetization: 0.0 μB/f.u.
energy of formation from the pure elements: -4.3 eV per formula unit
SG: No. 123
Fermi-level density of states: 17.774 states/eV per cell
theoretical density: 7.55 g cm⁻³

***

(3)
Below is a relaxed structure of PmGdP, with properties calculated at the PBE level.

The structure in CIF format:
```
data_PmGdP
_symmetry_space_group_name_H-M 'P 1'
_symmetry_Int_Tables_number 1
_cell_length_a 4.7956
_cell_length_b 4.7956
_cell_length_c 4.7956
_cell_angle_alpha 60.00
_cell_angle_beta 60.00
_cell_angle_gamma 60.00
loop_
_symmetry_equiv_pos_as_xyz
'x,y,z'
loop_
_atom_site_label
_atom_site_type_symbol
_atom_site_fract_x
_atom_site_fract_y
_atom_site_fract_z
Pm1 Pm 0.0000 0.0000 0.0000
Gd1 Gd 0.5000 0.5000 0.5000
P1 P 0.2500 0.2500 0.2500
```

Calculated values
magnetization: 7.5 μB/f.u.
energy of formation from the pure elements: -2.6 eV per formula unit
energy above the lowest structure with this stoichiometry: 105.9 meV per atom
SG: No. 216
Fermi-level density of states: 2.875 states/eV per cell
theoretical density: 7.10 g cm⁻³

***

(4)
Below is a relaxed structure of BaHfSi3, with properties calculated at the PBE level.

The structure in CIF format:
```
data_BaHfSi3
_symmetry_space_group_name_H-M 'P 1'
_symmetry_Int_Tables_number 1
_cell_length_a 5.2330
_cell_length_b 5.2330
_cell_length_c 5.2330
_cell_angle_alpha 90.00
_cell_angle_beta 90.00
_cell_angle_gamma 90.00
loop_
_symmetry_equiv_pos_as_xyz
'x,y,z'
loop_
_atom_site_label
_atom_site_type_symbol
_atom_site_fract_x
_atom_site_fract_y
_atom_site_fract_z
Si1 Si 0.0000 0.0000 0.5000
Si2 Si 0.5000 0.0000 0.0000
Si3 Si 0.0000 0.5000 0.0000
Ba1 Ba 0.0000 0.0000 0.0000
Hf1 Hf 0.5000 0.5000 0.5000
```

Calculated values
magnetization: 0.0 μB/f.u.
energy above the lowest structure with this stoichiometry: 1963.1 meV per atom
formation energy without anion corrections: 1940 meV/atom
SG: No. 221
Fermi-level density of states: 2.850 states/eV per cell
theoretical density: 4.64 g cm⁻³

***

(5)
Below is a relaxed structure of MgReRh, with properties calculated at the PBE level.

The structure in CIF format:
```
data_MgReRh
_symmetry_space_group_name_H-M 'P 1'
_symmetry_Int_Tables_number 1
_cell_length_a 4.0667
_cell_length_b 4.1109
_cell_length_c 6.0219
_cell_angle_alpha 70.06
_cell_angle_beta 90.00
_cell_angle_gamma 90.00
loop_
_symmetry_equiv_pos_as_xyz
'x,y,z'
loop_
_atom_site_label
_atom_site_type_symbol
_atom_site_fract_x
_atom_site_fract_y
_atom_site_fract_z
Mg1 Mg 0.7264 0.8466 0.8521
Mg2 Mg 0.2263 0.3420 0.8609
Re1 Re 0.2265 0.6573 0.2309
Re2 Re 0.7265 0.5318 0.4820
Rh1 Rh 0.2264 0.0149 0.5162
Rh2 Rh 0.7264 0.1742 0.1967
```

Calculated values
magnetization: 0.0 μB/f.u.
energy of formation from the pure elements: -0.2 eV per formula unit
energy above the lowest structure with this stoichiometry: 63.7 meV per atom
SG: No. 63
Fermi-level density of states: 3.480 states/eV per cell
theoretical density: 11.00 g cm⁻³

***

(6)
Below is a relaxed structure of SnGeC2, with properties calculated at the PBE level.

The structure in CIF format:
```
data_SnGeC2
_symmetry_space_group_name_H-M 'P 1'
_symmetry_Int_Tables_number 1
_cell_length_a 4.8575
_cell_length_b 4.8575
_cell_length_c 5.9102
_cell_angle_alpha 65.74
_cell_angle_beta 65.74
_cell_angle_gamma 90.00
loop_
_symmetry_equiv_pos_as_xyz
'x,y,z'
loop_
_atom_site_label
_atom_site_type_symbol
_atom_site_fract_x
_atom_site_fract_y
_atom_site_fract_z
Ge1 Ge 0.5000 0.5000 0.0000
Ge2 Ge 0.2500 0.7500 0.5000
C1 C 0.5921 0.1250 0.2500
C2 C 0.1579 0.6250 0.2500
C3 C 0.3750 0.4079 0.7500
C4 C 0.8750 0.8421 0.7500
Sn1 Sn 0.0000 0.0000 0.0000
Sn2 Sn 0.7500 0.2500 0.5000
```

Calculated values
magnetization: 0.0 μB/f.u.
energy of formation from the pure elements: 2.7 eV per formula unit
energy above the lowest structure with this stoichiometry: 0.0 meV per atom
SG: No. 122
Fermi-level density of states: 0.000 states/eV per cell
theoretical density: 6.30 g cm⁻³

***

(7)
Below is a relaxed structure of AlBiSe, with properties calculated at the PBE level.

The structure in CIF format:
```
data_AlBiSe
_symmetry_space_group_name_H-M 'P 1'
_symmetry_Int_Tables_number 1
_cell_length_a 3.7980
_cell_length_b 6.5788
_cell_length_c 7.8368
_cell_angle_alpha 105.53
_cell_angle_beta 90.00
_cell_angle_gamma 90.00
loop_
_symmetry_equiv_pos_as_xyz
'x,y,z'
loop_
_atom_site_label
_atom_site_type_symbol
_atom_site_fract_x
_atom_site_fract_y
_atom_site_fract_z
Bi1 Bi 0.7500 0.8046 0.9706
Bi2 Bi 0.2500 0.1954 0.0294
Al1 Al 0.7500 0.8848 0.3358
Al2 Al 0.2500 0.1152 0.6642
Se1 Se 0.7500 0.2539 0.5263
Se2 Se 0.2500 0.7461 0.4737
```

Calculated values
magnetization: 0.0 μB/f.u.
formation energy without anion corrections: -424 meV/atom
SG: No. 11
Fermi-level density of states: 0.661 states/eV per cell
theoretical density: 5.54 g cm⁻³

***

(8)
Below is a relaxed structure of AlReAs2, with properties calculated at the PBE level.

The structure in CIF format:
```
data_AlReAs2
_symmetry_space_group_name_H-M 'P 1'
_symmetry_Int_Tables_number 1
_cell_length_a 9.2307
_cell_length_b 9.2307
_cell_length_c 9.2307
_cell_angle_alpha 18.89
_cell_angle_beta 18.89
_cell_angle_gamma 18.89
loop_
_symmetry_equiv_pos_as_xyz
'x,y,z'
loop_
_atom_site_label
_atom_site_type_symbol
_atom_site_fract_x
_atom_site_fract_y
_atom_site_fract_z
As1 As 0.9862 0.9862 0.9862
As2 As 0.5138 0.5138 0.5138
Re1 Re 0.2500 0.2500 0.2500
Al1 Al 0.7500 0.7500 0.7500
```

Calculated values
magnetization: 0.0 μB/f.u.
energy of formation from the pure elements: 0.6 eV per formula unit
energy above the lowest structure with this stoichiometry: 125.2 meV per atom
SG: No. 166
Fermi-level density of states: 1.517 states/eV per cell
theoretical density: 8.37 g cm⁻³

***

(9)
Below is a relaxed structure of LiBe4Fe, with properties calculated at the PBE level.

The structure in CIF format:
```
data_LiBe4Fe
_symmetry_space_group_name_H-M 'P 1'
_symmetry_Int_Tables_number 1
_cell_length_a 4.2720
_cell_length_b 4.2720
_cell_length_c 4.2720
_cell_angle_alpha 60.00
_cell_angle_beta 60.00
_cell_angle_gamma 60.00
loop_
_symmetry_equiv_pos_as_xyz
'x,y,z'
loop_
_atom_site_label
_atom_site_type_symbol
_atom_site_fract_x
_atom_site_fract_y
_atom_site_fract_z
Be1 Be 0.3766 0.3766 0.8702
Be2 Be 0.8702 0.3766 0.3766
Be3 Be 0.3766 0.8702 0.3766
Be4 Be 0.3766 0.3766 0.3766
Fe1 Fe 0.7500 0.7500 0.7500
Li1 Li 0.0000 0.0000 0.0000
```

Calculated values
magnetization: 2.4 μB/f.u.
energy of formation from the pure elements: 0.0 eV per formula unit
SG: No. 216
Fermi-level density of states: 3.547 states/eV per cell
theoretical density: 2.98 g cm⁻³

***

(10)
Below is a relaxed structure of Ca2NdCd9, with properties calculated at the PBE level.

The structure in CIF format:
```
data_Ca2NdCd9
_symmetry_space_group_name_H-M 'P 1'
_symmetry_Int_Tables_number 1
_cell_length_a 6.0093
_cell_length_b 6.0093
_cell_length_c 10.1928
_cell_angle_alpha 72.86
_cell_angle_beta 72.86
_cell_angle_gamma 60.00
loop_
_symmetry_equiv_pos_as_xyz
'x,y,z'
loop_
_atom_site_label
_atom_site_type_symbol
_atom_site_fract_x
_atom_site_fract_y
_atom_site_fract_z
Cd1 Cd 0.5000 0.5000 0.5000
Cd2 Cd 0.5884 0.5884 0.7465
Cd3 Cd 0.0768 0.5884 0.7465
Cd4 Cd 0.4116 0.9232 0.2535
Cd5 Cd 0.3351 0.3351 0.9947
Cd6 Cd 0.9232 0.4116 0.2535
Cd7 Cd 0.6649 0.6649 0.0053
Cd8 Cd 0.4116 0.4116 0.2535
Cd9 Cd 0.5884 0.0768 0.7465
Nd1 Nd 0.0000 0.0000 0.0000
Ca1 Ca 0.1421 0.1421 0.5736
Ca2 Ca 0.8579 0.8579 0.4264
```

Calculated values
magnetization: 0.0 μB/f.u.
energy of formation from the pure elements: -3.0 eV per formula unit
SG: No. 166
Fermi-level density of states: 8.400 states/eV per cell
theoretical density: 6.85 g cm⁻³

***

(11)
Below is a relaxed structure of Pm7Te4S4, with properties calculated at the PBE level.

The structure in CIF format:
```
data_Pm7Te4S4
_symmetry_space_group_name_H-M 'P 1'
_symmetry_Int_Tables_number 1
_cell_length_a 7.1226
_cell_length_b 11.2487
_cell_length_c 11.2487
_cell_angle_alpha 84.25
_cell_angle_beta 71.54
_cell_angle_gamma 71.54
loop_
_symmetry_equiv_pos_as_xyz
'x,y,z'
loop_
_atom_site_label
_atom_site_type_symbol
_atom_site_fract_x
_atom_site_fract_y
_atom_site_fract_z
Te1 Te 0.5000 0.8223 0.1777
Te2 Te 0.8691 0.2619 0.0000
Te3 Te 0.1309 0.0000 0.7382
Te4 Te 0.8691 0.0000 0.2619
Te5 Te 0.3223 0.1777 0.1777
Te6 Te 0.1309 0.7382 0.0000
Te7 Te 0.5000 0.1777 0.8223
Te8 Te 0.6777 0.8223 0.8223
Pm1 Pm 0.2867 0.7133 0.7133
Pm2 Pm 0.8832 0.6168 0.6168
Pm3 Pm 0.0000 0.2867 0.7133
Pm4 Pm 0.5000 0.3832 0.6168
Pm5 Pm 0.5000 0.6168 0.3832
Pm6 Pm 0.1168 0.3832 0.3832
Pm7 Pm 0.0000 0.7133 0.2867
Pm8 Pm 0.2868 0.0000 0.4264
Pm9 Pm 0.2487 0.0000 0.0000
Pm10 Pm 0.7133 0.2867 0.2867
Pm11 Pm 0.2868 0.4264 0.0000
Pm12 Pm 0.7513 0.0000 0.0000
Pm13 Pm 0.7132 0.5736 0.0000
Pm14 Pm 0.7132 0.0000 0.5736
S1 S 0.8975 0.5000 0.2050
S2 S 0.6025 0.5000 0.7950
S3 S 0.1025 0.5000 0.7950
S4 S 0.3975 0.2050 0.5000
S5 S 0.3975 0.5000 0.2050
S6 S 0.6025 0.7950 0.5000
S7 S 0.1025 0.7950 0.5000
S8 S 0.8975 0.2050 0.5000
```

Calculated values
magnetization: 1.0 μB/f.u.
formation energy without anion corrections: -1607 meV/atom
SG: No. 139
Fermi-level density of states: 12.734 states/eV per cell
theoretical density: 6.77 g cm⁻³

***

(12)
Below is a relaxed structure of KRbPu2Br8, with properties calculated at the PBE level.

The structure in CIF format:
```
data_KRbPu2Br8
_symmetry_space_group_name_H-M 'P 1'
_symmetry_Int_Tables_number 1
_cell_length_a 7.7467
_cell_length_b 7.1175
_cell_length_c 8.9774
_cell_angle_alpha 89.94
_cell_angle_beta 89.96
_cell_angle_gamma 87.48
loop_
_symmetry_equiv_pos_as_xyz
'x,y,z'
loop_
_atom_site_label
_atom_site_type_symbol
_atom_site_fract_x
_atom_site_fract_y
_atom_site_fract_z
Br1 Br 0.3788 0.2764 0.5003
Br2 Br 0.1868 0.7163 0.7579
Br3 Br 0.6212 0.7236 0.4997
Br4 Br 0.1867 0.7162 0.2424
Br5 Br 0.3737 0.2749 0.0002
Br6 Br 0.8133 0.2838 0.7576
Br7 Br 0.6263 0.7251 0.9998
Br8 Br 0.8132 0.2837 0.2421
Pu1 Pu 0.5000 0.5000 0.2483
Pu2 Pu 0.5000 0.5000 0.7517
Rb1 Rb 0.0000 0.0000 0.5000
K1 K 0.0000 0.0000 0.0000
```

Calculated values
magnetization: 10.0 μB/f.u.
formation energy without anion corrections: -1585 meV/atom
SG: No. 2
Fermi-level density of states: 22.555 states/eV per cell
theoretical density: 4.20 g cm⁻³